DFT (GGA-PBE) results for an optimized crystal structure of ScCoSn2.

The structure in POSCAR format:
```
ScCoSn2
1.0
6.7476 0.0000 0.0000
0.0000 6.7476 0.0000
0.0000 0.0000 6.7476
Sc Co Sn
4 4 8
Cartesian
0.0000 0.0000 0.0000
0.0000 3.3738 3.3738
3.3738 0.0000 3.3738
3.3738 3.3738 0.0000
0.0000 0.0000 3.3738
0.0000 3.3738 0.0000
3.3738 0.0000 0.0000
3.3738 3.3738 3.3738
1.6869 1.6869 1.6869
1.6869 1.6869 5.0607
1.6869 5.0607 1.6869
1.6869 5.0607 5.0607
5.0607 1.6869 1.6869
5.0607 1.6869 5.0607
5.0607 5.0607 1.6869
5.0607 5.0607 5.0607
```

E_tot   -86.84 eV per cell
ΔE_f   -0.27 eV/f.u.
Space-group type   Fm-3m (225)
D(E_F)   4.42 states/eV/cell